No. 1
{"formula": "La4Tb10Sm", "functional": "PBE", "state": "optimized geometry", "volume_a3_per_cell": 517.4, "formation_energy_ev_per_atom": 0.3363, "m_tot_mub_per_fu": 0.0, "dft_energy_ev_per_atom": -4.379, "dos_at_fermi_per_ev_fu": 22.1, "cell": [[-9.005, 1.491, 5.701], [-8.162, -2.456, -2.092], [-3.491, -5.329, 6.037]], "species": ["Tb", "Tb", "Tb", "Tb", "Tb", "Tb", "Tb", "Tb", "Tb", "Tb", "La", "La", "La", "La", "Sm"], "fractional_positions": [[0.133, 0.093, 0.323], [0.549, 0.907, 0.677], [0.451, 0.093, 0.323], [0.544, 0.323, 0.907], [0.250, 0.500, 0.500], [0.867, 0.907, 0.677], [0.750, 0.500, 0.500], [0.456, 0.677, 0.093], [0.225, 0.323, 0.907], [0.775, 0.677, 0.093], [0.667, 0.270, 0.396], [0.063, 0.604, 0.270], [0.937, 0.396, 0.730], [0.333, 0.730, 0.604], [0.000, 0.000, 0.000]]}

---

No. 2
{"formula": "K2TlPd3", "functional": "PBE", "state": "optimized geometry", "volume_a3_per_cell": 137.0, "formation_energy_ev_per_atom": -0.1517, "m_tot_mub_per_fu": 0.0, "dft_energy_ev_per_atom": -3.508, "dos_at_fermi_per_ev_fu": 1.4, "cell": [[-3.344, 4.411, 2.038], [-2.524, -4.767, -2.387], [2.946, -3.312, 3.543]], "species": ["K", "K", "Pd", "Pd", "Pd", "Tl"], "fractional_positions": [[0.241, 0.621, 0.862], [0.759, 0.379, 0.138], [0.500, 0.500, 0.500], [0.000, 0.000, 0.500], [0.500, 0.000, 0.500], [0.000, 0.000, 0.000]]}

---

No. 3
{"formula": "CsPtI", "functional": "PBE", "state": "optimized geometry", "volume_a3_per_cell": 255.6, "m_tot_mub_per_fu": 0.0, "formation_energy_uncorrected_ev_per_atom": -0.53, "dft_energy_ev_per_atom": -3.344, "dos_at_fermi_per_ev_fu": 0.0, "cell": [[5.646, 0.001, -0.122], [-0.001, 4.948, 0.002], [-2.529, -0.013, 9.204]], "species": ["Cs", "Cs", "Pt", "Pt", "I", "I"], "fractional_positions": [[0.523, 0.337, 0.967], [0.290, 0.338, 0.482], [0.908, 0.338, 0.727], [0.973, 0.838, 0.863], [0.841, 0.838, 0.587], [0.108, 0.837, 0.148]]}

---

No. 4
{"formula": "Be5Nb", "functional": "PBE", "state": "optimized geometry", "volume_a3_per_cell": 61.2, "formation_energy_ev_per_atom": -0.0105, "m_tot_mub_per_fu": 0.0, "dft_energy_ev_per_atom": -4.794, "dos_at_fermi_per_ev_fu": 1.4, "cell": [[-0.041, -1.148, -3.422], [2.669, 2.156, -0.755], [1.802, -4.565, 1.509]], "species": ["Be", "Be", "Be", "Be", "Be", "Nb"], "fractional_positions": [[0.000, 0.309, 0.617], [0.500, 0.830, 0.659], [0.500, 0.170, 0.341], [0.000, 0.691, 0.383], [0.500, 0.500, 0.000], [0.000, 0.000, 0.000]]}

---

No. 5
{"formula": "Pr15Nd4Y", "functional": "PBE", "state": "optimized geometry", "volume_a3_per_cell": 718.9, "formation_energy_ev_per_atom": 0.0115, "m_tot_mub_per_fu": 0.0, "dft_energy_ev_per_atom": -4.850, "dos_at_fermi_per_ev_fu": 30.1, "cell": [[-4.729, -0.431, -2.229], [2.138, -2.581, -4.036], [-3.812, -22.641, 12.460]], "species": ["Nd", "Nd", "Nd", "Nd", "Pr", "Pr", "Pr", "Pr", "Pr", "Pr", "Pr", "Pr", "Pr", "Pr", "Pr", "Pr", "Pr", "Pr", "Pr", "Y"], "fractional_positions": [[0.000, 0.000, 0.801], [0.000, 0.000, 0.600], [0.000, 0.000, 0.400], [0.000, 0.000, 0.199], [0.500, 0.500, 0.000], [0.500, 0.000, 0.299], [0.500, 0.500, 0.801], [0.000, 0.500, 0.500], [0.000, 0.500, 0.701], [0.000, 0.500, 0.099], [0.500, 0.000, 0.500], [0.500, 0.000, 0.901], [0.500, 0.000, 0.701], [0.500, 0.500, 0.600], [0.500, 0.000, 0.099], [0.000, 0.500, 0.901], [0.000, 0.500, 0.299], [0.500, 0.500, 0.400], [0.500, 0.500, 0.199], [0.000, 0.000, 0.000]]}

---

No. 6
{"formula": "CoIr2Ru2Rh2", "functional": "PBE", "state": "optimized geometry", "volume_a3_per_cell": 103.3, "formation_energy_ev_per_atom": 0.3674, "m_tot_mub_per_fu": 1.0, "dft_energy_ev_per_atom": -7.930, "dos_at_fermi_per_ev_fu": 8.4, "cell": [[2.723, 0.000, 0.000], [-1.361, 12.926, 2.474], [0.000, -6.220, 1.745]], "species": ["Ru", "Ru", "Rh", "Rh", "Co", "Ir", "Ir"], "fractional_positions": [[0.323, 0.647, 0.864], [0.677, 0.353, 0.136], [0.519, 0.038, 0.259], [0.481, 0.962, 0.741], [0.000, 0.000, 0.500], [0.305, 0.610, 0.351], [0.695, 0.390, 0.649]]}

---

No. 7
{"formula": "RbNdBr3", "functional": "PBE", "state": "optimized geometry", "volume_a3_per_cell": 701.9, "m_tot_mub_per_fu": 1.0, "formation_energy_uncorrected_ev_per_atom": -1.70, "dft_energy_ev_per_atom": -3.848, "dos_at_fermi_per_ev_fu": 0.6, "cell": [[-3.247, -2.199, 1.469], [3.562, -8.098, -4.250], [8.826, -3.560, 14.178]], "species": ["Rb", "Rb", "Rb", "Rb", "Br", "Br", "Br", "Br", "Br", "Br", "Br", "Br", "Br", "Br", "Br", "Br", "Nd", "Nd", "Nd", "Nd"], "fractional_positions": [[0.250, 0.937, 0.325], [0.250, 0.437, 0.175], [0.750, 0.563, 0.825], [0.750, 0.063, 0.675], [0.750, 0.950, 0.876], [0.250, 0.550, 0.376], [0.250, 0.165, 0.505], [0.250, 0.050, 0.124], [0.750, 0.729, 0.202], [0.250, 0.771, 0.702], [0.750, 0.229, 0.298], [0.750, 0.335, 0.005], [0.250, 0.665, 0.995], [0.750, 0.450, 0.624], [0.250, 0.271, 0.798], [0.750, 0.835, 0.495], [0.250, 0.634, 0.547], [0.750, 0.366, 0.453], [0.250, 0.134, 0.953], [0.750, 0.866, 0.047]]}

---

No. 8
{"formula": "U6MnS12", "functional": "PBE", "state": "optimized geometry", "volume_a3_per_cell": 441.3, "m_tot_mub_per_fu": 19.0, "formation_energy_uncorrected_ev_per_atom": -1.30, "dft_energy_ev_per_atom": -7.949, "dos_at_fermi_per_ev_fu": 39.5, "cell": [[7.755, -0.104, -0.124], [-1.278, 7.650, -0.124], [-1.278, -1.489, 7.504]], "species": ["Mn", "U", "U", "U", "U", "U", "U", "S", "S", "S", "S", "S", "S", "S", "S", "S", "S", "S", "S"], "fractional_positions": [[0.000, 0.000, 0.000], [0.297, 0.132, 0.624], [0.703, 0.868, 0.376], [0.132, 0.624, 0.297], [0.376, 0.703, 0.868], [0.624, 0.297, 0.132], [0.868, 0.376, 0.703], [0.429, 0.575, 0.176], [0.824, 0.571, 0.425], [0.687, 0.938, 0.043], [0.062, 0.957, 0.313], [0.313, 0.062, 0.957], [0.575, 0.176, 0.429], [0.425, 0.824, 0.571], [0.957, 0.313, 0.062], [0.176, 0.429, 0.575], [0.938, 0.043, 0.687], [0.571, 0.425, 0.824], [0.043, 0.687, 0.938]]}

---

No. 9
{"formula": "GaNiAu", "functional": "PBE", "state": "optimized geometry", "volume_a3_per_cell": 92.5, "formation_energy_ev_per_atom": -0.1523, "m_tot_mub_per_fu": 0.0, "dft_energy_ev_per_atom": -4.181, "dos_at_fermi_per_ev_fu": 1.4, "cell": [[-2.673, 1.386, 0.575], [0.330, -0.602, 2.988], [5.869, 8.170, -0.575]], "species": ["Au", "Au", "Ga", "Ga", "Ni", "Ni"], "fractional_positions": [[0.431, 0.431, 0.863], [0.569, 0.569, 0.137], [0.843, 0.843, 0.687], [0.157, 0.157, 0.313], [0.713, 0.713, 0.426], [0.287, 0.287, 0.574]]}

---

No. 10
{"formula": "Mn3AsP", "functional": "PBE", "state": "optimized geometry", "volume_a3_per_cell": 81.3, "formation_energy_ev_per_atom": 0.2869, "m_tot_mub_per_fu": 8.7, "dft_energy_ev_per_atom": -7.227, "dos_at_fermi_per_ev_fu": 4.2, "cell": [[-3.188, 2.443, -1.626], [-2.628, -1.307, 3.187], [1.306, 3.331, 2.443]], "species": ["P", "As", "Mn", "Mn", "Mn"], "fractional_positions": [[0.000, 0.000, 0.000], [0.500, 0.500, 0.500], [0.000, 0.500, 0.000], [0.000, 0.000, 0.500], [0.500, 0.000, 0.000]]}

---

No. 11
{"formula": "PmAlGaPd3", "functional": "PBE", "state": "optimized geometry", "volume_a3_per_cell": 232.2, "formation_energy_ev_per_atom": -0.6628, "m_tot_mub_per_fu": 0.0, "dft_energy_ev_per_atom": -5.179, "dos_at_fermi_per_ev_fu": 2.2, "cell": [[5.662, 0.000, 0.000], [0.000, 6.651, 0.000], [0.000, -3.325, 6.166]], "species": ["Al", "Al", "Pd", "Pd", "Pd", "Pd", "Pd", "Pd", "Ga", "Ga", "Pm", "Pm"], "fractional_positions": [[0.250, 0.957, 0.914], [0.750, 0.043, 0.086], [0.750, 0.837, 0.675], [0.500, 0.293, 0.000], [0.000, 0.707, 0.000], [0.250, 0.163, 0.325], [0.500, 0.707, 0.000], [0.000, 0.293, 0.000], [0.250, 0.366, 0.732], [0.750, 0.634, 0.268], [0.750, 0.293, 0.585], [0.250, 0.707, 0.415]]}

---

No. 12
{"formula": "La5Nd3Er", "functional": "PBE", "state": "optimized geometry", "volume_a3_per_cell": 649.2, "formation_energy_ev_per_atom": 0.2639, "m_tot_mub_per_fu": 0.0, "dft_energy_ev_per_atom": -4.570, "dos_at_fermi_per_ev_fu": 16.5, "cell": [[-3.691, -7.424, 3.800], [-3.632, -2.310, -8.040], [10.086, 0.787, 0.389]], "species": ["La", "La", "La", "La", "La", "La", "La", "La", "La", "La", "Nd", "Nd", "Nd", "Nd", "Nd", "Nd", "Er", "Er"], "fractional_positions": [[0.570, 0.649, 0.719], [0.149, 0.070, 0.719], [0.000, 0.000, 0.000], [0.070, 0.570, 0.719], [0.430, 0.351, 0.281], [0.851, 0.930, 0.281], [0.351, 0.851, 0.281], [0.930, 0.430, 0.281], [0.500, 0.500, 0.000], [0.649, 0.149, 0.719], [0.250, 0.250, 0.500], [0.750, 0.750, 0.500], [0.115, 0.385, 0.000], [0.615, 0.115, 0.000], [0.385, 0.885, 0.000], [0.885, 0.615, 0.000], [0.750, 0.250, 0.500], [0.250, 0.750, 0.500]]}

---

No. 13
{"formula": "Ni2HgRh", "functional": "PBE", "state": "optimized geometry", "volume_a3_per_cell": 56.9, "formation_energy_ev_per_atom": 0.2115, "m_tot_mub_per_fu": 1.4, "dft_energy_ev_per_atom": -4.592, "dos_at_fermi_per_ev_fu": 4.8, "cell": [[4.712, 0.016, 0.012], [3.870, 2.687, 0.012], [0.987, 0.311, 4.521]], "species": ["Rh", "Ni", "Ni", "Hg"], "fractional_positions": [[0.489, 0.489, 0.540], [0.744, 0.744, 0.739], [0.011, 0.011, 0.992], [0.255, 0.255, 0.230]]}

---

No. 14
{"formula": "LiTlSn5", "functional": "PBE", "state": "optimized geometry", "volume_a3_per_cell": 198.6, "formation_energy_ev_per_atom": -0.0401, "m_tot_mub_per_fu": 0.0, "dft_energy_ev_per_atom": -3.511, "dos_at_fermi_per_ev_fu": 3.1, "cell": [[-1.773, -3.163, -2.730], [-0.448, -2.805, 3.540], [-8.825, 3.510, 1.665]], "species": ["Sn", "Sn", "Sn", "Sn", "Sn", "Tl", "Li"], "fractional_positions": [[0.000, 0.000, 0.000], [0.500, 0.000, 0.757], [0.000, 0.500, 0.757], [0.000, 0.500, 0.243], [0.500, 0.000, 0.243], [0.000, 0.000, 0.500], [0.500, 0.500, 0.000]]}

---

No. 15
{"formula": "RbAgH6Pt", "functional": "PBE", "state": "optimized geometry", "volume_a3_per_cell": 125.9, "m_tot_mub_per_fu": 0.0, "dft_energy_ev_per_atom": -3.507, "dos_at_fermi_per_ev_fu": 0.0, "cell": [[5.076, 0.000, 0.000], [2.538, 4.396, 0.000], [0.000, 0.000, 5.644]], "species": ["H", "H", "H", "H", "H", "H", "Ag", "Rb", "Pt"], "fractional_positions": [[0.060, 0.347, 0.328], [0.060, 0.593, 0.672], [0.593, 0.060, 0.328], [0.347, 0.593, 0.328], [0.347, 0.060, 0.672], [0.593, 0.347, 0.672], [0.667, 0.667, 0.500], [0.000, 0.000, 0.000], [0.333, 0.333, 0.500]]}

---

No. 16
{"formula": "Al2TeBr", "functional": "PBE", "state": "optimized geometry", "volume_a3_per_cell": 97.3, "m_tot_mub_per_fu": 0.0, "formation_energy_uncorrected_ev_per_atom": 0.07, "dft_energy_ev_per_atom": -3.010, "dos_at_fermi_per_ev_fu": 1.5, "cell": [[5.129, 0.000, 0.000], [0.000, 5.129, 0.000], [0.000, 0.000, 3.698]], "species": ["Al", "Al", "Te", "Br"], "fractional_positions": [[0.000, 0.000, 0.000], [0.500, 0.500, 0.000], [0.000, 0.500, 0.500], [0.500, 0.000, 0.500]]}

---

No. 17
{"formula": "CaPdW", "functional": "PBE", "state": "optimized geometry", "volume_a3_per_cell": 122.3, "formation_energy_ev_per_atom": 0.0366, "m_tot_mub_per_fu": 0.0, "dft_energy_ev_per_atom": -6.679, "dos_at_fermi_per_ev_fu": 2.9, "cell": [[-1.995, 1.245, -2.175], [-3.344, -0.128, 2.994], [1.366, 7.146, 5.195]], "species": ["W", "W", "Pd", "Pd", "Ca", "Ca"], "fractional_positions": [[0.258, 0.080, 0.403], [0.758, 0.543, 0.403], [0.131, 0.738, 0.151], [0.384, 0.486, 0.656], [0.583, 0.288, 0.054], [0.932, 0.939, 0.752]]}

---

No. 18
{"formula": "Sr2TcNi", "functional": "PBE", "state": "optimized geometry", "volume_a3_per_cell": 111.5, "formation_energy_ev_per_atom": 0.4651, "m_tot_mub_per_fu": 1.2, "dft_energy_ev_per_atom": -4.413, "dos_at_fermi_per_ev_fu": 4.9, "cell": [[6.493, 0.088, -0.182], [5.212, 3.873, -0.182], [1.979, 0.670, 4.454]], "species": ["Ni", "Tc", "Sr", "Sr"], "fractional_positions": [[0.176, 0.176, 0.324], [0.577, 0.577, 0.422], [0.760, 0.760, 0.740], [0.987, 0.987, 0.013]]}

---

No. 19
{"formula": "DyTmCdPd", "functional": "PBE", "state": "optimized geometry", "volume_a3_per_cell": 93.3, "formation_energy_ev_per_atom": -0.5622, "m_tot_mub_per_fu": 0.0, "dft_energy_ev_per_atom": -4.358, "dos_at_fermi_per_ev_fu": 2.7, "cell": [[-0.441, -3.063, 4.041], [3.997, -2.732, 1.571], [2.339, 1.189, 4.362]], "species": ["Cd", "Tm", "Pd", "Dy"], "fractional_positions": [[0.750, 0.750, 0.750], [0.500, 0.500, 0.500], [0.250, 0.250, 0.250], [0.000, 0.000, 0.000]]}

---

No. 20
{"formula": "SrAg2Au2", "functional": "PBE", "state": "optimized geometry", "volume_a3_per_cell": 116.8, "formation_energy_ev_per_atom": -0.3824, "m_tot_mub_per_fu": 0.0, "dft_energy_ev_per_atom": -3.170, "dos_at_fermi_per_ev_fu": 2.1, "cell": [[4.214, 0.000, 0.000], [0.000, 4.214, 0.000], [2.107, 2.107, 6.577]], "species": ["Ag", "Ag", "Au", "Au", "Sr"], "fractional_positions": [[0.750, 0.250, 0.500], [0.250, 0.750, 0.500], [0.604, 0.604, 0.792], [0.396, 0.396, 0.208], [0.000, 0.000, 0.000]]}